Record 1
Here is a relaxed structure of K3Na3Bi2 from Alexandria via LeMat-Bulk. Energies are from PBE.

## Properties
V: 41.67 Å³/atom
DFT formation energy: -0.3305 eV/atom
Magnetic moment: 0.0 Bohr magnetons per cell

Unit cell a=10.108 b=19.571 c=6.741 alpha=90.00 beta=90.00 gamma=90.00
Element x y z (fractional)
K  0.025  0.100  0.095
K  0.025  0.400  0.095
K  0.139  0.250  0.670
K  0.361  0.750  0.170
K  0.475  0.600  0.595
K  0.475  0.900  0.595
K  0.525  0.100  0.405
K  0.525  0.400  0.405
K  0.639  0.250  0.830
K  0.861  0.750  0.330
K  0.975  0.600  0.905
K  0.975  0.900  0.905
Na  0.159  0.041  0.597
Na  0.159  0.459  0.597
Na  0.169  0.750  0.618
Na  0.331  0.250  0.118
Na  0.341  0.541  0.097
Na  0.341  0.959  0.097
Na  0.659  0.041  0.903
Na  0.659  0.459  0.903
Na  0.669  0.750  0.882
Na  0.831  0.250  0.382
Na  0.841  0.541  0.403
Na  0.841  0.959  0.403
Bi  0.135  0.611  0.407
Bi  0.135  0.889  0.407
Bi  0.365  0.111  0.907
Bi  0.365  0.389  0.907
Bi  0.635  0.611  0.093
Bi  0.635  0.889  0.093
Bi  0.865  0.111  0.593
Bi  0.865  0.389  0.593


Record 2
Here is a relaxed structure of TaTeRu from Alexandria via LeMat-Bulk. Energies are from PBE.

## Properties
V: 23.37 Å³/atom
Energy above the most stable polymorph in this dataset: 0 meV per atom
Magnetic moment: 0.0 Bohr magnetons per cell
E_form (uncorrected): -0.7 eV/f.u.

Unit cell a=10.268 b=10.268 c=4.481 alpha=99.93 beta=99.93 gamma=17.54
Element x y z (fractional)
Ta  0.064  0.064  0.285
Ta  0.936  0.936  0.715
Te  0.331  0.331  0.348
Te  0.669  0.669  0.652
Ru  0.455  0.455  0.201
Ru  0.545  0.545  0.799


Repeat the first record exactly.
Here is a relaxed structure of K3Na3Bi2 from Alexandria via LeMat-Bulk. Energies are from PBE.

## Properties
V: 41.67 Å³/atom
DFT formation energy: -0.3305 eV/atom
Magnetic moment: 0.0 Bohr magnetons per cell

Unit cell a=10.108 b=19.571 c=6.741 alpha=90.00 beta=90.00 gamma=90.00
Element x y z (fractional)
K  0.025  0.100  0.095
K  0.025  0.400  0.095
K  0.139  0.250  0.670
K  0.361  0.750  0.170
K  0.475  0.600  0.595
K  0.475  0.900  0.595
K  0.525  0.100  0.405
K  0.525  0.400  0.405
K  0.639  0.250  0.830
K  0.861  0.750  0.330
K  0.975  0.600  0.905
K  0.975  0.900  0.905
Na  0.159  0.041  0.597
Na  0.159  0.459  0.597
Na  0.169  0.750  0.618
Na  0.331  0.250  0.118
Na  0.341  0.541  0.097
Na  0.341  0.959  0.097
Na  0.659  0.041  0.903
Na  0.659  0.459  0.903
Na  0.669  0.750  0.882
Na  0.831  0.250  0.382
Na  0.841  0.541  0.403
Na  0.841  0.959  0.403
Bi  0.135  0.611  0.407
Bi  0.135  0.889  0.407
Bi  0.365  0.111  0.907
Bi  0.365  0.389  0.907
Bi  0.635  0.611  0.093
Bi  0.635  0.889  0.093
Bi  0.865  0.111  0.593
Bi  0.865  0.389  0.593